# 1
## ZnTcB3 (GGA-PBE)

Data for a relaxed ZnTcB3 crystal.

Values from the calculation:
Space-group type   Pm-3m (221)
E_form   1.147 eV per atom
Excess energy over the best structure of this formula in the dataset   0.000 eV per atom
DOS(E_F)   0.5171 states/eV per atom
Magnetic moment   0.00 Bohr magnetons per cell

Unit cell a=4.094 b=4.094 c=4.094 alpha=90.00 beta=90.00 gamma=90.00
Positions (direct):
B (0.000, 0.500, 0.000)
B (0.000, 0.000, 0.500)
B (0.500, 0.000, 0.000)
Tc (0.000, 0.000, 0.000)
Zn (0.500, 0.500, 0.500)


# 2
## UCoSiTc (GGA-PBE)

Data for a relaxed UCoSiTc crystal.

Values from the calculation:
Space-group type   F-43m (216)
Energy relative to the elements, uncorrected   -137 meV per atom
DOS(E_F)   1.4759 states/eV per atom
Magnetic moment   1.78 Bohr magnetons per cell

Unit cell a=4.451 b=4.451 c=4.451 alpha=60.00 beta=60.00 gamma=60.00
Each line ends with the local moment (μB).
Positions (direct):
Si (0.500, 0.500, 0.500)  0.00
U (0.000, 0.000, 0.000)  1.68
Tc (0.250, 0.250, 0.250)  0.02
Co (0.750, 0.750, 0.750)  -0.02


Copy entry 2 word for word.
## UCoSiTc (GGA-PBE)

Data for a relaxed UCoSiTc crystal.

Values from the calculation:
Space-group type   F-43m (216)
Energy relative to the elements, uncorrected   -137 meV per atom
DOS(E_F)   1.4759 states/eV per atom
Magnetic moment   1.78 Bohr magnetons per cell

Unit cell a=4.451 b=4.451 c=4.451 alpha=60.00 beta=60.00 gamma=60.00
Each line ends with the local moment (μB).
Positions (direct):
Si (0.500, 0.500, 0.500)  0.00
U (0.000, 0.000, 0.000)  1.68
Tc (0.250, 0.250, 0.250)  0.02
Co (0.750, 0.750, 0.750)  -0.02


Question: The lowest magnetic moment belongs to which entry?
Answer: ZnTcB3